CaLaAsPt | PBE | optimized geometry

Lattice parameters (Å, degrees): 5.149 5.149 5.149 60.00 60.00 60.00
Atoms (fractional coordinates):
1 As 0.500 0.500 0.500
2 La 0.750 0.750 0.750
3 Ca 0.250 0.250 0.250
4 Pt 0.000 0.000 0.000

Symmetry: F-43m, No. 216
Size of the total moment (μB/cell): 0.00
Energy of formation from the pure elements (eV per formula unit): -4.37